(1)
# Sc3Ga2

A PBEsol-optimized structure of Sc3Ga2 (meta-GGA SCAN, Alexandria via LeMat-Bulk).

POSCAR file:
```
Sc3Ga2
1.0
10.2361 -0.0010 -0.0015
-4.6560 9.1158 0.0015
-4.6560 -3.4151 8.4520
Sc Ga
24 16
Cartesian
-4.4120 5.2572 5.9314
2.8103 1.9888 4.8134
0.6800 5.0214 5.5817
-5.1492 2.3245 7.0970
3.5475 4.9215 3.6478
1.4172 2.8416 7.8638
-2.6235 -2.1031 6.7473
-1.8862 8.2480 0.5789
5.3360 0.4425 2.5206
-1.8862 3.7110 3.6385
0.2440 0.6784 2.8703
6.0732 3.3752 1.3549
-2.6235 0.7783 4.8042
-0.4932 2.8582 0.5882
3.5475 7.8029 1.7047
2.8103 -2.5482 7.8730
1.4145 5.3995 1.2487
1.4145 -0.8659 5.4739
-0.4904 6.5657 2.9780
-0.4904 0.3003 7.2033
-3.7631 6.4391 2.7903
2.7900 2.4273 1.4365
-1.8660 3.2725 7.0155
4.6871 -0.7393 5.6617
-1.0436 -1.5728 4.4258
2.8959 0.4388 7.4088
1.9677 7.2725 4.0262
0.9261 7.9102 0.2006
0.9261 3.4868 3.1836
-0.0021 2.2130 5.2684
-0.0021 -2.2104 8.2514
-1.9718 5.2609 1.0432
4.1001 5.2264 0.9920
2.7900 -0.2370 3.2332
-1.8660 5.9368 5.2188
-3.1761 0.4734 7.4600
-4.6560 2.8504 4.2268
0.0000 0.0000 0.0000
-6.9840 4.2756 6.3401
-2.3280 1.4252 2.1134
```

## Properties
theoretical density = 4.6 g/cm³
ΔE_f = -0.67 eV per atom
volume = 19.7 A^3/atom



(2)
# Sc3Ga

A PBEsol-optimized structure of Sc3Ga (meta-GGA SCAN, Alexandria via LeMat-Bulk).

POSCAR file:
```
Sc3Ga
1.0
-1.7405 -3.8361 -2.5812
4.7953 0.4006 -3.8288
0.3583 -3.5381 5.0168
Sc Ga
6 2
Cartesian
1.2764 -1.4299 -1.0996
-0.1838 -5.7377 1.5592
2.1367 -5.5438 -0.2936
3.5968 -1.2361 -2.9524
3.7702 -2.9482 -0.5248
-0.3572 -4.0255 -0.8685
1.4022 -3.1843 1.4230
2.0109 -3.7894 -2.8162
```

## Properties
theoretical density = 4.2 g/cm³
ΔE_f = -0.39 eV per atom
volume = 20.2 A^3/atom



Number 1: energy -15.7492 eV/atom. Number 2: energy -15.1519 eV/atom.